This record from Alexandria via LeMat-Bulk describes an optimized crystal structure of LaP2ClO. The functional is PBE.

Cell lengths 4.0319, 4.0319, 5.5573 Å; angles 90.00, 90.00, 90.00 degrees
Space group P4/mmm (No. 123)
One atom of each set of equivalent atoms:
La 0.0000 0.0000 0.0000 x1
P 0.0000 0.5000 0.5000 x2
Cl 0.5000 0.5000 0.0000 x1
O 0.5000 0.5000 0.5000 x1

Calculated values
Energy relative to the elements, uncorrected   -380 kJ/mol of formula units
Energy above the lowest structure with this stoichiometry   0 kJ/mol of formula units